No. 1
A relaxed structure of Rb4Tb3InSe8. Source: Alexandria, functional PBE-GGA.

## Properties
- Raw formation energy: -1.494 eV per atom
- Magnetization: 0.0 μB per formula unit
- E: -72.3 eV/f.u.

Cell: 8.4786 9.3866 8.4795 Å, 116.86 120.00 90.00°
Sites, in units of the cell vectors:
Tb1 0.0000 0.5000 0.5000
Se1 0.7322 0.6964 0.4643
Rb1 0.5000 0.0000 0.5000
Se2 0.7710 0.3054 0.5421
Tb2 0.5000 0.5000 0.0000
Tb3 0.5000 0.5000 0.5000
Rb2 0.0000 0.0000 0.0000
Se3 0.2290 0.6946 0.4579
Rb3 0.5000 0.0000 0.0000
Rb4 0.0000 0.0000 0.5000
Se4 0.2634 0.3054 0.0343
Se5 0.2291 0.6946 0.9657
Se6 0.2678 0.3036 0.5357
Se7 0.7709 0.3054 0.0343
In1 0.0000 0.5000 0.0000
Se8 0.7366 0.6946 0.9657

No. 2
A relaxed structure of RbInTcSe2. Source: Alexandria, functional PBE-GGA.

## Properties
- Raw formation energy: -0.121 eV per atom
- Magnetization: 1.6 μB per formula unit
- E: -21.6 eV/f.u.

Cell: 5.1148 5.2639 5.1148 Å, 90.00 90.00 90.00°
Last column: magnetic moment on the atom in μB.
Sites, in units of the cell vectors:
Rb1 0.5000 0.5000 0.5000  0.00
In1 0.0000 0.5000 0.0000  -0.02
Se1 0.0000 0.0000 0.5000  0.06
Se2 0.5000 0.0000 0.0000  0.12
Tc1 0.0000 0.0000 0.0000  1.17

No. 3
A relaxed structure of Rb2ThInSe5. Source: Alexandria, functional PBE-GGA.

## Properties
- Raw formation energy: -1.108 eV per atom
- Magnetization: 1.0 μB per formula unit
- E: -39.5 eV/f.u.

Cell: 4.2358 10.6098 14.9217 Å, 90.00 90.00 101.51°
Last column: magnetic moment on the atom in μB.
Sites, in units of the cell vectors:
Se1 0.0547 0.1095 0.0383  0.02
In1 0.5594 0.1188 0.9304  0.00
Se2 0.4998 0.9996 0.7821  0.22
Th1 0.2042 0.4084 0.0224  0.00
Th2 0.7958 0.5916 0.5224  0.00
Se3 0.5002 0.0004 0.2821  0.22
Se4 0.6860 0.3720 0.8838  0.01
Se5 0.2982 0.5964 0.6517  0.06
Rb1 0.8784 0.7567 0.1872  0.00
In2 0.4406 0.8812 0.4304  0.00
Rb2 0.1216 0.2433 0.6872  0.00
Se6 0.3140 0.6280 0.3838  0.01
Se7 0.6602 0.3205 0.5075  0.27
Se8 0.9453 0.8905 0.5383  0.02
Se9 0.3398 0.6795 0.0075  0.27
Se10 0.7018 0.4036 0.1517  0.06
Rb3 0.1337 0.2675 0.3207  0.00
Rb4 0.8663 0.7325 0.8207  0.00

No. 4
A relaxed structure of Rb2TlInSe4. Source: Alexandria, functional PBE-GGA.

## Properties
- Raw formation energy: -0.763 eV per atom
- Magnetization: 0.0 μB per formula unit
- E: -27.1 eV/f.u.

Cell: 7.8803 7.8803 7.3006 Å, 122.68 122.68 89.99°
Sites, in units of the cell vectors:
Tl1 0.7358 0.7358 0.4717
Se1 0.6922 0.6082 0.7268
Se2 0.8636 0.4370 0.2166
Se3 0.0347 0.1187 0.7269
Se4 0.3531 0.7796 0.2167
In1 0.9859 0.4859 0.9718
Rb1 0.4859 0.9859 0.9719
Rb2 0.2359 0.2359 0.4718

No. 5
A relaxed structure of RbTmInSe3. Source: Alexandria, functional PBE-GGA.

## Properties
- Raw formation energy: -1.268 eV per atom
- Magnetization: 0.0 μB per formula unit
- E: -26.2 eV/f.u.

Cell: 4.0794 8.9371 11.3670 Å, 108.79 90.00 90.00°
Sites, in units of the cell vectors:
Rb1 0.2500 0.2292 0.2668
Se1 0.2500 0.5858 0.8882
In1 0.7500 0.8673 0.4197
Se2 0.7500 0.8815 0.1905
Se3 0.7500 0.3386 0.5911
Rb2 0.7500 0.7708 0.7332
Tm1 0.2500 0.6413 0.1446
In2 0.2500 0.1327 0.5803
Tm2 0.7500 0.3587 0.8554
Se4 0.2500 0.1185 0.8095
Se5 0.7500 0.4142 0.1118
Se6 0.2500 0.6614 0.4089

No. 6
A relaxed structure of Rb3Tm2InSe6. Source: Alexandria, functional PBE-GGA.

## Properties
- Raw formation energy: -1.405 eV per atom
- Magnetization: 0.0 μB per formula unit
- E: -52.4 eV/f.u.

Cell: 7.2466 7.2466 8.3546 Å, 98.31 98.31 119.99°
Sites, in units of the cell vectors:
Se1 0.9359 0.6051 0.8077
Se2 0.0641 0.3949 0.1923
Rb1 0.1671 0.8329 0.5000
Se3 0.2667 0.2667 0.8073
Se4 0.3949 0.0641 0.1923
Tm1 0.3334 0.6666 0.0000
Se5 0.6051 0.9359 0.8077
Se6 0.7333 0.7333 0.1927
Rb2 0.5000 0.5000 0.5000
In1 0.0000 0.0000 0.0000
Rb3 0.8329 0.1671 0.5000
Tm2 0.6666 0.3334 0.0000

No. 7
A relaxed structure of Rb3Tm3InSe8. Source: Alexandria, functional PBE-GGA.

## Properties
- Raw formation energy: -1.412 eV per atom
- Magnetization: 0.0 μB per formula unit
- E: -68.1 eV/f.u.

Cell: 8.1831 8.1944 9.4995 Å, 115.62 90.00 119.95°
Sites, in units of the cell vectors:
Rb1 0.0000 0.0000 0.0000
Tm1 0.5000 0.0000 0.5000
Se1 0.2687 0.5375 0.3063
Se2 0.7305 0.9611 0.6916
Se3 0.7313 0.4625 0.6937
Se4 0.2305 0.4610 0.6916
In1 0.0000 0.0000 0.5000
Tm2 0.5000 0.5000 0.5000
Se5 0.2695 0.0389 0.3084
Tm3 0.0000 0.5000 0.5000
Se6 0.7695 0.5390 0.3084
Se7 0.7694 0.0389 0.3084
Rb2 0.5000 0.5000 0.0000
Rb3 0.0000 0.5000 0.0000
Se8 0.2306 0.9611 0.6916

No. 8
A relaxed structure of Rb2UInSe6. Source: Alexandria, functional PBE-GGA.

## Properties
- Raw formation energy: -0.839 eV per atom
- Magnetization: 0.0 μB per formula unit
- E: -45.3 eV/f.u.

Cell: 7.6460 7.6456 10.8095 Å, 90.00 90.00 90.00°
Sites, in units of the cell vectors:
Se1 0.0000 0.7504 0.7531
In1 0.5000 0.2503 0.0000
Rb1 0.0000 0.2503 0.7499
U1 0.0000 0.7502 0.0000
Rb2 0.0000 0.2503 0.2501
Se2 0.5000 0.2496 0.2531
Se3 0.0000 0.7504 0.2469
Se4 0.2468 0.5033 0.0000
Se5 0.7468 0.4967 0.5000
In2 0.0000 0.7497 0.5000
U2 0.5000 0.2498 0.5000
Se6 0.7532 0.9970 0.0000
Se7 0.7468 0.0030 0.5000
Se8 0.7532 0.5033 0.0000
Se9 0.2532 0.0030 0.5000
Se10 0.2468 0.9970 0.0000
Rb3 0.5000 0.7497 0.7501
Rb4 0.5000 0.7497 0.2499
Se11 0.5000 0.2496 0.7469
Se12 0.2532 0.4967 0.5000